<1>
## Nb3TlTe (PBE)

Data for Nb3TlTe after structural relaxation.

Values from the calculation:
- symmetry = Pm-3m (221)

a = 5.056 Å, b = 5.056 Å, c = 5.056 Å
α = 90.00°, β = 90.00°, γ = 90.00°
Element x y z (fractional)
Nb 0.000 0.000 0.500
Nb 0.000 0.500 0.000
Nb 0.500 0.000 0.000
Tl 0.500 0.500 0.500
Te 0.000 0.000 0.000

=====

<2>
## Nb3TlTe (PBE)

Data for Nb3TlTe after structural relaxation.

Values from the calculation:
- symmetry = Pm-3m (221)

a = 5.142 Å, b = 5.142 Å, c = 5.142 Å
α = 90.00°, β = 90.00°, γ = 90.00°
Element x y z (fractional)
Nb 0.000 0.000 0.500
Nb 0.000 0.500 0.000
Nb 0.500 0.000 0.000
Tl 0.000 0.000 0.000
Te 0.500 0.500 0.500

=====

Stability, lowest: <2>